1.
! SrGaHg PBE relaxed; values from VASP
! VASP energy = -1.99 eV per atom
! calculated volume = 27.277 Å³ per atom
! calculated formation energy = -0.320 eV per atom
&SYSTEM
  ibrav = 0, nat = 3, ntyp = 3
/
ATOMIC_SPECIES
Hg 200.59 Hg.upf
Sr 87.62 Sr.upf
Ga 69.72 Ga.upf
CELL_PARAMETERS angstrom
-0.9776 -0.8107 -3.5702
-3.0613 -1.8456 1.2574
-1.0002 6.1537 0.8874
ATOMIC_POSITIONS crystal
Hg 0.5974 0.5974 0.1948
Sr 0.2832 0.2832 0.5665
Ga 0.9693 0.9693 0.9387

2.
! Pu2HfSc6 PBE relaxed; values from VASP
! VASP energy = -8.35 eV per atom
! calculated volume = 23.954 Å³ per atom
! calculated formation energy = 0.160 eV per atom
&SYSTEM
  ibrav = 0, nat = 18, ntyp = 3
/
ATOMIC_SPECIES
Sc 44.96 Sc.upf
Pu 244.00 Pu.upf
Hf 178.49 Hf.upf
CELL_PARAMETERS angstrom
-3.2482 -4.5813 -6.5560
5.3367 -1.0797 -1.8896
0.7898 -7.2678 4.6874
ATOMIC_POSITIONS crystal
Sc 0.6428 0.3322 0.6964
Sc 0.8548 0.3313 0.0145
Sc 0.1904 0.1364 0.1627
Sc 0.3548 0.1687 0.4855
Sc 0.1452 0.6687 0.9855
Sc 0.6904 0.3636 0.3373
Sc 0.1428 0.1678 0.8036
Sc 0.8572 0.8322 0.1964
Sc 0.8096 0.8636 0.8373
Sc 0.6452 0.8313 0.5145
Sc 0.3096 0.6364 0.6627
Sc 0.3572 0.6678 0.3036
Pu 0.0498 0.4859 0.3520
Pu 0.9502 0.5141 0.6480
Pu 0.4502 0.9859 0.8520
Pu 0.5498 0.0141 0.1480
Hf 0.5000 0.5000 0.0000
Hf 0.0000 0.0000 0.5000

3.
! Pm2Dy3Sn3 PBE relaxed; values from VASP
! VASP energy = -5.11 eV per atom
! calculated volume = 29.778 Å³ per atom
! calculated formation energy = -0.696 eV per atom
&SYSTEM
  ibrav = 0, nat = 16, ntyp = 3
/
ATOMIC_SPECIES
Dy 162.50 Dy.upf
Pm 145.00 Pm.upf
Sn 118.71 Sn.upf
CELL_PARAMETERS angstrom
-0.1514 -0.8201 -6.6255
-4.3722 -7.8812 1.0754
-4.7001 7.7185 -0.8480
ATOMIC_POSITIONS crystal
Dy 0.2500 0.0000 0.7629
Dy 0.7500 0.2371 0.0000
Dy 0.7500 0.0000 0.2371
Dy 0.2500 0.2371 0.2371
Dy 0.7500 0.7629 0.7629
Dy 0.2500 0.7629 0.0000
Pm 0.5000 0.6667 0.3333
Pm 0.0000 0.3333 0.6667
Pm 0.0000 0.6667 0.3333
Pm 0.5000 0.3333 0.6667
Sn 0.2500 0.0000 0.3917
Sn 0.7500 0.0000 0.6083
Sn 0.2500 0.6083 0.6083
Sn 0.2500 0.3917 0.0000
Sn 0.7500 0.3917 0.3917
Sn 0.7500 0.6083 0.0000

4.
! Tl2AgSb2 PBE relaxed; values from VASP
! VASP energy = -3.13 eV per atom
! uncorrected formation energy = 17.9 kJ/mol of formula units
! calculated volume = 29.862 Å³ per atom
&SYSTEM
  ibrav = 0, nat = 10, ntyp = 3
/
ATOMIC_SPECIES
Tl 204.38 Tl.upf
Sb 121.76 Sb.upf
Ag 107.87 Ag.upf
CELL_PARAMETERS angstrom
7.3432 0.0000 0.0000
0.0000 7.3432 0.0000
0.0000 0.0000 5.5380
ATOMIC_POSITIONS crystal
Tl 0.8276 0.3276 0.5000
Tl 0.6724 0.8276 0.5000
Tl 0.1724 0.6724 0.5000
Tl 0.3276 0.1724 0.5000
Sb 0.8591 0.6409 0.0000
Sb 0.1409 0.3591 0.0000
Sb 0.3591 0.8591 0.0000
Sb 0.6409 0.1409 0.0000
Ag 0.5000 0.5000 0.0000
Ag 0.0000 0.0000 0.0000

5.
! GeS2Cl PBE relaxed; values from VASP
! VASP energy = -3.98 eV per atom
! uncorrected formation energy = -114.5 kJ/mol of formula units
! calculated volume = 29.710 Å³ per atom
&SYSTEM
  ibrav = 0, nat = 16, ntyp = 3
/
ATOMIC_SPECIES
S 32.06 S.upf
Cl 35.45 Cl.upf
Ge 72.64 Ge.upf
CELL_PARAMETERS angstrom
-5.1405 -1.3049 -0.3624
0.6794 -4.1221 5.2040
-3.6891 13.4094 4.0492
ATOMIC_POSITIONS crystal
S 0.8390 0.9232 0.9568
S 0.2455 0.1047 0.4668
S 0.6610 0.4232 0.4568
S 0.7454 0.3953 0.0332
S 0.1610 0.0768 0.0432
S 0.2546 0.6047 0.9668
S 0.3390 0.5768 0.5432
S 0.7545 0.8953 0.5332
Cl 0.8859 0.4511 0.6941
Cl 0.3859 0.0489 0.8059
Cl 0.1141 0.5489 0.3059
Cl 0.6141 0.9511 0.1941
Ge 0.1311 0.7729 0.4603
Ge 0.8689 0.2271 0.5397
Ge 0.6311 0.7271 0.0397
Ge 0.3689 0.2729 0.9603

6.
! CeTm7 PBE relaxed; values from VASP
! VASP energy = -4.62 eV per atom
! calculated volume = 29.954 Å³ per atom
! calculated formation energy = 0.039 eV per atom
&SYSTEM
  ibrav = 0, nat = 8, ntyp = 2
/
ATOMIC_SPECIES
Tm 168.93 Tm.upf
Ce 140.12 Ce.upf
CELL_PARAMETERS angstrom
-6.3862 -2.4215 -1.4001
-2.9019 -4.7866 4.1564
-5.3634 1.7362 4.1022
ATOMIC_POSITIONS crystal
Tm 0.5000 0.5000 0.0000
Tm 0.5000 0.0000 0.0000
Tm 0.0000 0.5000 0.0000
Tm 0.5000 0.0000 0.5000
Tm 0.5000 0.5000 0.5000
Tm 0.0000 0.0000 0.5000
Tm 0.0000 0.5000 0.5000
Ce 0.0000 0.0000 0.0000

7.
! Mn2V4P PBE relaxed; values from VASP
! VASP energy = -8.14 eV per atom
! calculated volume = 15.726 Å³ per atom
! calculated formation energy = 0.464 eV per atom
&SYSTEM
  ibrav = 0, nat = 7, ntyp = 3
/
ATOMIC_SPECIES
Mn 54.94 Mn.upf
P 30.97 P.upf
V 50.94 V.upf
CELL_PARAMETERS angstrom
4.2695 0.0000 0.0000
0.0000 4.2695 0.0000
2.1348 2.1348 6.0389
ATOMIC_POSITIONS crystal
Mn 0.6256 0.6256 0.7489
Mn 0.3744 0.3744 0.2511
P 0.0000 0.0000 0.0000
V 0.8074 0.8074 0.3851
V 0.0000 0.5000 0.0000
V 0.1926 0.1926 0.6149
V 0.5000 0.0000 0.0000

8.
! LiSb2As PBE relaxed; values from VASP
! VASP energy = -3.79 eV per atom
! uncorrected formation energy = -35.5 kJ/mol of formula units
! calculated volume = 24.408 Å³ per atom
&SYSTEM
  ibrav = 0, nat = 4, ntyp = 3
/
ATOMIC_SPECIES
Sb 121.76 Sb.upf
As 74.92 As.upf
Li 6.94 Li.upf
CELL_PARAMETERS angstrom
8.0156 -0.0207 -0.0124
7.1126 3.6962 -0.0124
7.1126 1.7280 3.2674
ATOMIC_POSITIONS crystal
Sb 0.9945 0.9945 0.9945
Sb 0.5055 0.5055 0.5055
As 0.2500 0.2500 0.2500
Li 0.7500 0.7500 0.7500

9.
! Mo5C3 PBE relaxed; values from VASP
! VASP energy = -9.74 eV per atom
! calculated volume = 11.703 Å³ per atom
! calculated formation energy = 0.488 eV per atom
&SYSTEM
  ibrav = 0, nat = 8, ntyp = 2
/
ATOMIC_SPECIES
Mo 95.94 Mo.upf
C 12.01 C.upf
CELL_PARAMETERS angstrom
-2.5350 -0.0747 1.0701
-1.0699 -0.0236 -2.5361
0.3499 -12.3515 -0.0329
ATOMIC_POSITIONS crystal
Mo 0.0000 0.0000 0.7878
Mo 0.0000 0.0000 0.0000
Mo 0.5000 0.5000 0.3969
Mo 0.0000 0.0000 0.2122
Mo 0.5000 0.5000 0.6031
C 0.5000 0.5000 0.1190
C 0.0000 0.0000 0.5000
C 0.5000 0.5000 0.8810

10.
! BaSrBiCl PBE relaxed; values from VASP
! VASP energy = -3.72 eV per atom
! uncorrected formation energy = -536.3 kJ/mol of formula units
! calculated volume = 35.279 Å³ per atom
&SYSTEM
  ibrav = 0, nat = 4, ntyp = 4
/
ATOMIC_SPECIES
Bi 208.98 Bi.upf
Cl 35.45 Cl.upf
Ba 137.33 Ba.upf
Sr 87.62 Sr.upf
CELL_PARAMETERS angstrom
-4.2788 -2.5724 3.0372
-1.3136 -5.6093 -0.9797
1.2910 -4.0472 4.0129
ATOMIC_POSITIONS crystal
Bi 0.0000 0.0000 0.0000
Cl 0.5000 0.5000 0.5000
Ba 0.7500 0.7500 0.7500
Sr 0.2500 0.2500 0.2500

11.
! Ga2NO PBE relaxed; values from VASP
! VASP energy = -5.53 eV per atom
! uncorrected formation energy = -269.9 kJ/mol of formula units
! calculated volume = 12.858 Å³ per atom
&SYSTEM
  ibrav = 0, nat = 4, ntyp = 3
/
ATOMIC_SPECIES
N 14.01 N.upf
Ga 69.72 Ga.upf
O 16.00 O.upf
CELL_PARAMETERS angstrom
-1.6476 -0.8309 2.7315
-0.4670 -3.1776 0.7429
3.9805 -1.3661 3.9752
ATOMIC_POSITIONS crystal
N 0.7425 0.1874 0.6714
Ga 0.6173 0.0624 0.0454
Ga 0.1109 0.5558 0.5659
O 0.2338 0.6789 0.1958

12.
! MnV PBE relaxed; values from VASP
! VASP energy = -9.28 eV per atom
! calculated volume = 11.907 Å³ per atom
! calculated formation energy = -0.131 eV per atom
&SYSTEM
  ibrav = 0, nat = 2, ntyp = 2
/
ATOMIC_SPECIES
V 50.94 V.upf
Mn 54.94 Mn.upf
CELL_PARAMETERS angstrom
-1.8625 1.5322 0.7519
-0.3666 -2.3446 0.8663
2.0655 0.8942 3.2940
ATOMIC_POSITIONS crystal
V 0.5000 0.5000 0.5000
Mn 0.0000 0.0000 0.0000

13.
! Ta2CuCl PBE relaxed; values from VASP
! VASP energy = -7.11 eV per atom
! uncorrected formation energy = 117.2 kJ/mol of formula units
! calculated volume = 15.405 Å³ per atom
&SYSTEM
  ibrav = 0, nat = 4, ntyp = 3
/
ATOMIC_SPECIES
Cl 35.45 Cl.upf
Ta 180.95 Ta.upf
Cu 63.55 Cu.upf
CELL_PARAMETERS angstrom
-1.1526 -1.2291 -2.4307
2.7152 -0.7272 -0.9199
-0.5129 -6.1688 3.3624
ATOMIC_POSITIONS crystal
Cl 0.5000 0.5000 0.2500
Ta 0.0000 0.0000 0.9955
Ta 0.0000 0.0000 0.5045
Cu 0.5000 0.5000 0.7500

14.
! Sr2GePb PBE relaxed; values from VASP
! VASP energy = -3.07 eV per atom
! calculated volume = 34.786 Å³ per atom
! calculated formation energy = -0.149 eV per atom
&SYSTEM
  ibrav = 0, nat = 8, ntyp = 3
/
ATOMIC_SPECIES
Sr 87.62 Sr.upf
Pb 207.20 Pb.upf
Ge 72.64 Ge.upf
CELL_PARAMETERS angstrom
-3.7421 3.8038 -7.0779
0.8527 -7.5757 -4.5221
-4.6374 -2.9209 -4.6682
ATOMIC_POSITIONS crystal
Sr 0.5983 0.1250 0.2500
Sr 0.3750 0.4017 0.7500
Sr 0.8750 0.8483 0.7500
Sr 0.1517 0.6250 0.2500
Pb 0.7500 0.2500 0.5000
Pb 0.0000 0.0000 0.0000
Ge 0.2500 0.7500 0.5000
Ge 0.5000 0.5000 0.0000

15.
! NaSbSeI2 PBE relaxed; values from VASP
! VASP energy = -2.39 eV per atom
! uncorrected formation energy = 5.4 kJ/mol of formula units
! calculated volume = 41.129 Å³ per atom
&SYSTEM
  ibrav = 0, nat = 5, ntyp = 4
/
ATOMIC_SPECIES
Na 22.99 Na.upf
I 126.90 I.upf
Se 78.96 Se.upf
Sb 121.76 Sb.upf
CELL_PARAMETERS angstrom
6.1041 0.0000 0.0000
0.0000 6.1041 0.0000
0.0000 0.0000 5.5192
ATOMIC_POSITIONS crystal
Na 0.5000 0.5000 0.5000
I 0.0000 0.5000 0.0000
I 0.5000 0.0000 0.0000
Se 0.0000 0.0000 0.0000
Sb 0.0000 0.0000 0.5000

16.
! LaAl2Cr PBE relaxed; values from VASP
! VASP energy = -5.48 eV per atom
! calculated volume = 21.752 Å³ per atom
! calculated formation energy = 0.029 eV per atom
&SYSTEM
  ibrav = 0, nat = 4, ntyp = 3
/
ATOMIC_SPECIES
La 138.91 La.upf
Cr 52.00 Cr.upf
Al 26.98 Al.upf
CELL_PARAMETERS angstrom
-3.9087 1.2894 1.4616
-1.3588 -2.5142 -1.4160
0.5830 -3.8272 4.9352
ATOMIC_POSITIONS crystal
La 0.5000 0.6844 0.7807
Cr 0.0000 0.5705 0.3878
Al 0.5000 0.1093 0.2886
Al 0.0000 0.1358 0.0429

17.
! K2Co2Pd PBE relaxed; values from VASP
! VASP energy = -3.03 eV per atom
! calculated volume = 22.632 Å³ per atom
! calculated formation energy = 1.293 eV per atom
&SYSTEM
  ibrav = 0, nat = 5, ntyp = 3
/
ATOMIC_SPECIES
K 39.10 K.upf
Co 58.93 Co.upf
Pd 106.42 Pd.upf
CELL_PARAMETERS angstrom
-2.8619 -2.4547 -1.4040
2.3606 -3.1736 0.7368
-2.9559 -3.3348 6.0913
ATOMIC_POSITIONS crystal
K 0.2500 0.7500 0.5000
K 0.7500 0.2500 0.5000
Co 0.4279 0.4279 0.1442
Co 0.5721 0.5721 0.8558
Pd 0.0000 0.0000 0.0000

18.
! CaNiMo2 PBE relaxed; values from VASP
! VASP energy = -6.96 eV per atom
! calculated volume = 17.101 Å³ per atom
! calculated formation energy = 0.397 eV per atom
&SYSTEM
  ibrav = 0, nat = 4, ntyp = 3
/
ATOMIC_SPECIES
Ni 58.69 Ni.upf
Ca 40.08 Ca.upf
Mo 95.94 Mo.upf
CELL_PARAMETERS angstrom
5.8516 0.0024 -0.0006
5.1116 2.8483 -0.0006
1.7097 0.4446 4.1071
ATOMIC_POSITIONS crystal
Ni 0.2500 0.2500 0.2500
Ca 0.7500 0.7500 0.7500
Mo 0.9711 0.9711 0.0289
Mo 0.5289 0.5289 0.4711

19.
! YGaTe2N PBE relaxed; values from VASP
! VASP energy = -4.82 eV per atom
! uncorrected formation energy = -0.6 kJ/mol of formula units
! calculated volume = 23.490 Å³ per atom
&SYSTEM
  ibrav = 0, nat = 5, ntyp = 4
/
ATOMIC_SPECIES
Te 127.60 Te.upf
Ga 69.72 Ga.upf
N 14.01 N.upf
Y 88.91 Y.upf
CELL_PARAMETERS angstrom
-4.2008 2.1511 3.0276
-3.5079 -3.7992 -2.1680
0.8126 -2.3441 2.7929
ATOMIC_POSITIONS crystal
Te 0.0000 0.5000 0.0000
Te 0.5000 0.0000 0.0000
Ga 0.0000 0.0000 0.0000
N 0.0000 0.0000 0.5000
Y 0.5000 0.5000 0.5000

20.
! NbIrI3 PBE relaxed; values from VASP
! VASP energy = -3.70 eV per atom
! uncorrected formation energy = 489.4 kJ/mol of formula units
! calculated volume = 31.006 Å³ per atom
&SYSTEM
  ibrav = 0, nat = 5, ntyp = 3
/
ATOMIC_SPECIES
I 126.90 I.upf
Nb 92.91 Nb.upf
Ir 192.22 Ir.upf
CELL_PARAMETERS angstrom
-2.9870 -2.8407 -3.4448
3.4694 1.1322 -3.9420
2.8105 -4.4167 1.2051
ATOMIC_POSITIONS crystal
I 0.5000 0.0000 0.0000
I 0.0000 0.0000 0.5000
I 0.0000 0.5000 0.0000
Nb 0.5000 0.5000 0.5000
Ir 0.0000 0.0000 0.0000

21.
! ScWBr4 PBE relaxed; values from VASP
! VASP energy = -3.13 eV per atom
! uncorrected formation energy = 693.3 kJ/mol of formula units
! calculated volume = 27.605 Å³ per atom
&SYSTEM
  ibrav = 0, nat = 6, ntyp = 3
/
ATOMIC_SPECIES
Br 79.90 Br.upf
Sc 44.96 Sc.upf
W 183.84 W.upf
CELL_PARAMETERS angstrom
0.2246 4.1654 4.5384
-4.8419 0.7458 3.7415
0.3269 -1.8524 5.8703
ATOMIC_POSITIONS crystal
Br 0.3749 0.3749 0.8753
Br 0.3749 0.8753 0.3749
Br 0.8753 0.3749 0.3749
Br 0.3749 0.3749 0.3749
Sc 0.7500 0.7500 0.7500
W 0.0000 0.0000 0.0000

22.
! La2NbAgMo PBE relaxed; values from VASP
! VASP energy = -5.54 eV per atom
! calculated volume = 28.423 Å³ per atom
! calculated formation energy = 1.186 eV per atom
&SYSTEM
  ibrav = 0, nat = 5, ntyp = 4
/
ATOMIC_SPECIES
Ag 107.87 Ag.upf
Mo 95.94 Mo.upf
La 138.91 La.upf
Nb 92.91 Nb.upf
CELL_PARAMETERS angstrom
-0.3942 3.5335 -3.8244
1.7597 -3.5116 -3.4258
-4.8993 -1.5504 -0.9274
ATOMIC_POSITIONS crystal
Ag 0.0000 0.5000 0.0000
Mo 0.0000 0.0000 0.0000
La 0.0000 0.0000 0.5000
La 0.5000 0.0000 0.0000
Nb 0.5000 0.5000 0.5000

23.
! YbEu PBE relaxed; values from VASP
! VASP energy = -5.95 eV per atom
! calculated volume = 39.131 Å³ per atom
! calculated formation energy = -0.055 eV per atom
&SYSTEM
  ibrav = 0, nat = 2, ntyp = 2
/
ATOMIC_SPECIES
Yb 173.04 Yb.upf
Eu 151.96 Eu.upf
CELL_PARAMETERS angstrom
3.7011 0.0064 0.0000
-1.2430 3.4861 0.0000
0.0000 0.0000 6.0621
ATOMIC_POSITIONS crystal
Yb 0.5000 0.5000 0.5000
Eu 0.0000 0.0000 0.0000

24.
! Tm4Cd2GaHg PBE relaxed; values from VASP
! VASP energy = -3.29 eV per atom
! calculated volume = 24.207 Å³ per atom
! calculated formation energy = -0.408 eV per atom
&SYSTEM
  ibrav = 0, nat = 8, ntyp = 4
/
ATOMIC_SPECIES
Cd 112.41 Cd.upf
Tm 168.93 Tm.upf
Hg 200.59 Hg.upf
Ga 69.72 Ga.upf
CELL_PARAMETERS angstrom
5.1542 0.0000 0.0000
2.5771 4.4637 0.0000
2.5771 1.4879 8.4175
ATOMIC_POSITIONS crystal
Cd 0.2508 0.2508 0.2476
Cd 0.7492 0.7492 0.7524
Tm 0.1272 0.1272 0.6185
Tm 0.8728 0.8728 0.3815
Tm 0.6227 0.6227 0.1318
Tm 0.3773 0.3773 0.8682
Hg 0.0000 0.0000 0.0000
Ga 0.5000 0.5000 0.5000

25.
! HfIrAu PBE relaxed; values from VASP
! VASP energy = -7.99 eV per atom
! calculated volume = 17.817 Å³ per atom
! calculated formation energy = -0.626 eV per atom
&SYSTEM
  ibrav = 0, nat = 3, ntyp = 3
/
ATOMIC_SPECIES
Ir 192.22 Ir.upf
Au 196.97 Au.upf
Hf 178.49 Hf.upf
CELL_PARAMETERS angstrom
3.4461 0.0000 0.0000
0.0000 3.4461 0.0000
-1.7231 -1.7231 4.5009
ATOMIC_POSITIONS crystal
Ir 0.2968 0.2968 0.5936
Au 0.6147 0.6147 0.2294
Hf 0.9385 0.9385 0.8769

26.
! Pm4N3Cl PBE relaxed; values from VASP
! VASP energy = -7.16 eV per atom
! uncorrected formation energy = -1104.4 kJ/mol of formula units
! calculated volume = 18.085 Å³ per atom
&SYSTEM
  ibrav = 0, nat = 8, ntyp = 3
/
ATOMIC_SPECIES
Pm 145.00 Pm.upf
Cl 35.45 Cl.upf
N 14.01 N.upf
CELL_PARAMETERS angstrom
3.6607 -0.0450 0.0629
0.0463 6.2120 1.7747
-0.1065 0.3227 6.4516
ATOMIC_POSITIONS crystal
Pm 0.0000 0.2201 0.2800
Pm 0.0000 0.7801 0.7200
Pm 0.5000 0.2359 0.7358
Pm 0.4999 0.7643 0.2642
Cl 0.5000 0.5001 0.0000
N 0.5000 0.0001 0.5000
N 0.0000 0.0001 0.0000
N 0.0000 0.5001 0.5000